ThMgAl2Zn4 | PBE-GGA | relaxed

The structure in POSCAR format:
```
ThMgAl2Zn4
1.0
-2.275 -3.614 -1.287
1.295 -2.282 -3.606
4.722 -6.902 3.305
Th Mg Al Zn
1 1 2 4
Cartesian
0.000 0.000 0.000
1.871 -6.399 -0.794
2.705 -9.499 -1.291
1.037 -3.299 -0.298
3.449 -7.942 0.748
0.975 -7.808 -2.982
2.767 -4.990 1.393
0.293 -4.856 -2.337
```

Values from the calculation:
DOS at the Fermi energy in states/eV/cell: 1.95
DFT formation energy in eV per atom: -0.16
Space-group type: R-3m, No. 166
Calculated volume in Å³ per atom: 18.6
Mass density in g/cm3: 6.40